This record from Alexandria describes a geometry-optimized ThGa4Pt2 structure. The functional is PBE.

The formation energy is -0.675 eV/atom. The relative energy among the computed polymorphs is 0.92 eV/f.u. The density of states at the Fermi level comes out at 0.54 states/eV/atom.

The structure belongs to space group P4_2/mnm (No. 136); the cell edges are 7.7647, 7.7647 and 4.3459 Å and the angles 90.00°, 90.00° and 90.00°. The asymmetric unit holds Th at (0.0000, 0.0000, 0.0000), Ga at (0.0892, 0.3363, 0.5000) and Pt at (0.2131, 0.7869, 0.5000).



This record from Alexandria describes a geometry-optimized Th2GaPt3 structure. The functional is PBE.

The formation energy is -1.086 eV/atom. The density of states at the Fermi level comes out at 0.72 states/eV/atom.

The structure belongs to space group Fmmm (No. 69); the cell edges are 7.3810, 9.4939 and 15.0496 Å and the angles 90.00°, 90.00° and 90.00°. The asymmetric unit holds Th at (0.2471, 0.0000, 0.0000), Th at (0.2500, 0.2500, 0.2500), Ga at (0.0000, 0.0000, 0.3265), Pt at (0.0000, 0.0000, 0.1591) and Pt at (0.0000, 0.2291, 0.4084).



This record from Alexandria describes a geometry-optimized Th3Ga8Pt3 structure. The functional is PBE.

The formation energy is -0.740 eV/atom. The density of states at the Fermi level comes out at 0.32 states/eV/atom.

The structure belongs to space group C2/m (No. 12); the cell edges are 16.0240, 4.5431 and 9.0736 Å and the angles 90.00°, 124.39° and 90.00°. The asymmetric unit holds Th at (0.0000, 0.0000, 0.0000), Th at (0.2107, 0.5000, 0.7143), Ga at (0.0006, 0.5000, 0.6765), Ga at (0.1399, 0.0000, 0.4279), Ga at (0.1496, 0.0000, 0.8641), Ga at (0.1556, 0.5000, 0.2936), Pt at (0.0000, 0.0000, 0.5000) and Pt at (0.1474, 0.5000, 0.0062).



This record from Alexandria describes a geometry-optimized ThGa4Pt2 structure. The functional is PBE.

The formation energy is -0.807 eV/atom. The relative energy among the computed polymorphs is 0.00 eV/f.u. The density of states at the Fermi level comes out at 0.37 states/eV/atom.

The structure belongs to space group Pnma (No. 62); the cell edges are 17.3919, 4.4382 and 6.6532 Å and the angles 90.00°, 90.00° and 90.00°. The asymmetric unit holds Th at (0.1382, 0.2500, 0.0078), Ga at (0.0366, 0.7500, 0.8281), Ga at (0.0709, 0.2500, 0.4871), Ga at (0.1831, 0.7500, 0.3205), Ga at (0.1896, 0.7500, 0.7190), Pt at (0.0353, 0.7500, 0.2429) and Pt at (0.2171, 0.2500, 0.5248).



This record from Alexandria describes a geometry-optimized Th2GaPt9 structure. The functional is PBE.

The formation energy is -0.879 eV/atom. The density of states at the Fermi level comes out at 0.30 states/eV/atom.

The structure belongs to space group P4/mmm (No. 123); the cell edges are 4.1875, 4.1875 and 12.2142 Å and the angles 90.00°, 90.00° and 90.00°. The asymmetric unit holds Th at (0.0000, 0.0000, 0.1764), Ga at (0.0000, 0.0000, 0.5000), Pt at (0.0000, 0.5000, 0.0000), Pt at (0.0000, 0.5000, 0.3492), Pt at (0.5000, 0.5000, 0.1752) and Pt at (0.5000, 0.5000, 0.5000).



This record from Alexandria describes a geometry-optimized ThGa2Pt5 structure. The functional is PBE.

The formation energy is -0.795 eV/atom. The density of states at the Fermi level comes out at 0.30 states/eV/atom.

The structure belongs to space group Immm (No. 71); the cell edges are 3.9466, 7.1810 and 10.1068 Å and the angles 90.00°, 90.00° and 90.00°. The asymmetric unit holds Th at (0.0000, 0.0000, 0.0000), Ga at (0.0000, 0.5000, 0.2456), Pt at (0.0000, 0.2014, 0.3611) and Pt at (0.0000, 0.5000, 0.0000).



This record from Alexandria describes a geometry-optimized ThGaPt2 structure. The functional is PBE.

The formation energy is -1.076 eV/atom. The density of states at the Fermi level comes out at 0.31 states/eV/atom.

The structure belongs to space group Pnma (No. 62); the cell edges are 7.5284, 7.0705 and 5.9689 Å and the angles 90.00°, 90.00° and 90.00°. The asymmetric unit holds Th at (0.0304, 0.2500, 0.1573), Ga at (0.1141, 0.7500, 0.3465) and Pt at (0.1906, 0.0503, 0.5773).



This record from Alexandria describes a geometry-optimized ThGa2Pt6 structure. The functional is PBE.

The formation energy is -0.778 eV/atom. The density of states at the Fermi level comes out at 0.23 states/eV/atom.

The structure belongs to space group P6/mmm (No. 191); the cell edges are 5.5026, 5.5026 and 6.8571 Å and the angles 90.00°, 90.00° and 120.00°. The asymmetric unit holds Th at (0.0000, 0.0000, 0.0000), Ga at (0.3333, 0.6667, 0.5000) and Pt at (0.0000, 0.5000, 0.2084).